RbMg2TaTe after structural relaxation. Source: Alexandria, functional PBEsol.

Values from the calculation:
Crystal system ... tetragonal
Uncorrected formation energy ... 960 meV/atom
N(E_F) ... 5.39 states/eV/cell
Theoretical density ... 4351 kg/m³

Cell and atoms, written as extended XYZ:
```
5
Lattice="5.697 0.000 0.000 0.000 5.697 0.000 0.000 0.000 5.206" Properties=species:S:1:pos:R:3 pbc="T T T"
Rb 0.000 0.000 0.000
Mg 0.000 2.848 2.603
Mg 2.848 0.000 2.603
Ta 2.848 2.848 0.000
Te 2.848 2.848 2.603
```